[1]
# TbScN | Alexandria via LeMat-Bulk | PBE-GGA | relaxed
# Volume ... 18.9 Å³/atom
# Formation energy without anion corrections ... -1.08 eV per atom
data_TbScN
_chemical_formula_sum 'Tb1 Sc1 N1'
_symmetry_space_group_name_H-M 'P 3 m 1'
_symmetry_Int_Tables_number 156
_cell_length_a 3.3681
_cell_length_b 3.3681
_cell_length_c 5.7851
_cell_angle_alpha 90.00
_cell_angle_beta 90.00
_cell_angle_gamma 120.00
loop_
_symmetry_equiv_pos_as_xyz
'x,y,z'
'-y,x-y,z'
'-x+y,-x,z'
'-y,-x,z'
'-x+y,y,z'
'x,x-y,z'
loop_
_atom_site_label
_atom_site_type_symbol
_atom_site_fract_x
_atom_site_fract_y
_atom_site_fract_z
Tb1 Tb 0.0000 0.0000 0.0000
Sc1 Sc 0.3333 0.6667 0.4425
N1 N 0.6667 0.3333 0.2515

***

[2]
# Tb2Sc4N | Alexandria via LeMat-Bulk | PBE-GGA | relaxed
# Volume ... 24.5 Å³/atom
# Formation energy without anion corrections ... -0.35 eV per atom
data_Tb2Sc4N
_chemical_formula_sum 'Tb4 Sc8 N2'
_symmetry_space_group_name_H-M 'I 4/m m m'
_symmetry_Int_Tables_number 139
_symmetry_space_group_name_Hall '-I 4 2'
_cell_length_a 4.4071
_cell_length_b 4.4071
_cell_length_c 17.6240
_cell_angle_alpha 90.00
_cell_angle_beta 90.00
_cell_angle_gamma 90.00
loop_
_atom_site_label
_atom_site_type_symbol
_atom_site_fract_x
_atom_site_fract_y
_atom_site_fract_z
Tb1 Tb 0.0000 0.0000 0.1820
Sc1 Sc 0.0000 0.0000 0.3764
Sc2 Sc 0.0000 0.5000 0.0000
N1 N 0.0000 0.0000 0.5000

***

[3]
# TbSc3N | Alexandria via LeMat-Bulk | PBE-GGA | relaxed
# Volume ... 20.0 Å³/atom
# Formation energy without anion corrections ... -0.52 eV per atom
data_TbSc3N
_chemical_formula_sum 'Tb1 Sc3 N1'
_symmetry_space_group_name_H-M 'P m -3 m'
_symmetry_Int_Tables_number 221
_symmetry_space_group_name_Hall '-P 4 2 3'
_cell_length_a 4.6407
_cell_length_b 4.6407
_cell_length_c 4.6407
_cell_angle_alpha 90.00
_cell_angle_beta 90.00
_cell_angle_gamma 90.00
loop_
_atom_site_label
_atom_site_type_symbol
_atom_site_fract_x
_atom_site_fract_y
_atom_site_fract_z
Tb1 Tb 0.0000 0.0000 0.0000
Sc1 Sc 0.0000 0.5000 0.5000
N1 N 0.5000 0.5000 0.5000

***

[4]
# TbSc2N3 | Alexandria via LeMat-Bulk | PBE-GGA | relaxed
# Volume ... 12.8 Å³/atom
# Formation energy without anion corrections ... -1.77 eV per atom
data_TbSc2N3
_chemical_formula_sum 'Tb2 Sc4 N6'
_symmetry_space_group_name_H-M 'I m m m'
_symmetry_Int_Tables_number 71
_symmetry_space_group_name_Hall '-I 2 2'
_cell_length_a 3.2927
_cell_length_b 4.7008
_cell_length_c 9.9081
_cell_angle_alpha 90.00
_cell_angle_beta 90.00
_cell_angle_gamma 90.00
loop_
_atom_site_label
_atom_site_type_symbol
_atom_site_fract_x
_atom_site_fract_y
_atom_site_fract_z
Tb1 Tb 0.0000 0.0000 0.0000
Sc1 Sc 0.0000 0.0000 0.3314
N1 N 0.0000 0.5000 0.0000
N2 N 0.0000 0.5000 0.3231

***

[5]
# Tb3ScN4 | Alexandria via LeMat-Bulk | PBE-GGA | relaxed
# Volume ... 14.3 Å³/atom
# Formation energy without anion corrections ... -1.68 eV per atom
data_Tb3ScN4
_chemical_formula_sum 'Tb6 Sc2 N8'
_symmetry_space_group_name_H-M 'P 1 2/c 1'
_symmetry_Int_Tables_number 13
_cell_length_a 5.9378
_cell_length_b 6.8661
_cell_length_c 5.9367
_cell_angle_alpha 90.00
_cell_angle_beta 109.46
_cell_angle_gamma 90.00
loop_
_symmetry_equiv_pos_as_xyz
'x,y,z'
'-x,-y,-z'
'-x,y,-z+1/2'
'x,-y,z+1/2'
loop_
_atom_site_label
_atom_site_type_symbol
_atom_site_fract_x
_atom_site_fract_y
_atom_site_fract_z
Tb1 Tb 0.0000 0.1226 0.2500
Tb2 Tb 0.0000 0.3727 0.7500
Tb3 Tb 0.5000 0.3731 0.2500
Sc1 Sc 0.5000 0.1186 0.7500
N1 N 0.2520 0.3713 0.5048
N2 N 0.2627 0.1164 0.9997

***

[6]
# Tb3ScN | Alexandria via LeMat-Bulk | PBE-GGA | relaxed
# Volume ... 23.8 Å³/atom
# Formation energy without anion corrections ... -0.56 eV per atom
data_Tb3ScN
_chemical_formula_sum 'Tb3 Sc1 N1'
_symmetry_space_group_name_H-M 'P m -3 m'
_symmetry_Int_Tables_number 221
_symmetry_space_group_name_Hall '-P 4 2 3'
_cell_length_a 4.9159
_cell_length_b 4.9159
_cell_length_c 4.9159
_cell_angle_alpha 90.00
_cell_angle_beta 90.00
_cell_angle_gamma 90.00
loop_
_atom_site_label
_atom_site_type_symbol
_atom_site_fract_x
_atom_site_fract_y
_atom_site_fract_z
Tb1 Tb 0.0000 0.0000 0.5000
Sc1 Sc 0.5000 0.5000 0.5000
N1 N 0.0000 0.0000 0.0000

***

[7]
# Tb2ScTlN | Alexandria via LeMat-Bulk | PBE-GGA | relaxed
# Volume ... 21.3 Å³/atom
# Formation energy without anion corrections ... -0.95 eV per atom
data_Tb2ScTlN
_chemical_formula_sum 'Tb2 Sc1 Tl1 N1'
_symmetry_space_group_name_H-M 'P 4/m m m'
_symmetry_Int_Tables_number 123
_symmetry_space_group_name_Hall '-P 4 2'
_cell_length_a 4.8507
_cell_length_b 4.8507
_cell_length_c 4.5171
_cell_angle_alpha 90.00
_cell_angle_beta 90.00
_cell_angle_gamma 90.00
loop_
_atom_site_label
_atom_site_type_symbol
_atom_site_fract_x
_atom_site_fract_y
_atom_site_fract_z
Tb1 Tb 0.0000 0.5000 0.0000
Sc1 Sc 0.0000 0.0000 0.5000
Tl1 Tl 0.5000 0.5000 0.5000
N1 N 0.0000 0.0000 0.0000

***

[8]
# TbSc2TlN | Alexandria via LeMat-Bulk | PBE-GGA | relaxed
# Volume ... 19.7 Å³/atom
# Formation energy without anion corrections ... -0.99 eV per atom
data_TbSc2TlN
_chemical_formula_sum 'Tb1 Sc2 Tl1 N1'
_symmetry_space_group_name_H-M 'P 4/m m m'
_symmetry_Int_Tables_number 123
_symmetry_space_group_name_Hall '-P 4 2'
_cell_length_a 4.5273
_cell_length_b 4.5273
_cell_length_c 4.7962
_cell_angle_alpha 90.00
_cell_angle_beta 90.00
_cell_angle_gamma 90.00
loop_
_atom_site_label
_atom_site_type_symbol
_atom_site_fract_x
_atom_site_fract_y
_atom_site_fract_z
Tb1 Tb 0.0000 0.0000 0.0000
Sc1 Sc 0.0000 0.5000 0.5000
Tl1 Tl 0.5000 0.5000 0.0000
N1 N 0.0000 0.0000 0.5000

***

[9]
# TbTm2ScN4 | Alexandria via LeMat-Bulk | PBE-GGA | relaxed
# Volume ... 13.7 Å³/atom
# Formation energy without anion corrections ... -1.77 eV per atom
data_TbTm2ScN4
_chemical_formula_sum 'Tb1 Tm2 Sc1 N4'
_symmetry_space_group_name_H-M 'P 1 2/m 1'
_symmetry_Int_Tables_number 10
_cell_length_a 5.8534
_cell_length_b 3.3836
_cell_length_c 5.8535
_cell_angle_alpha 90.00
_cell_angle_beta 109.42
_cell_angle_gamma 90.00
loop_
_symmetry_equiv_pos_as_xyz
'x,y,z'
'-x,-y,-z'
'-x,y,-z'
'x,-y,z'
loop_
_atom_site_label
_atom_site_type_symbol
_atom_site_fract_x
_atom_site_fract_y
_atom_site_fract_z
Tb1 Tb 0.0000 0.0000 0.0000
Tm1 Tm 0.0000 0.5000 0.5000
Tm2 Tm 0.5000 0.0000 0.5000
Sc1 Sc 0.5000 0.5000 0.0000
N1 N 0.2571 0.5000 0.2509
N2 N 0.2577 0.0000 0.7538

***

[10]
# Tb2ZrScN4 | Alexandria via LeMat-Bulk | PBE-GGA | relaxed
# Volume ... 13.4 Å³/atom
# Formation energy without anion corrections ... -1.75 eV per atom
data_Tb2ZrScN4
_chemical_formula_sum 'Tb2 Zr1 Sc1 N4'
_symmetry_space_group_name_H-M 'P 1 2/m 1'
_symmetry_Int_Tables_number 10
_cell_length_a 5.7927
_cell_length_b 3.3491
_cell_length_c 5.8356
_cell_angle_alpha 90.00
_cell_angle_beta 109.25
_cell_angle_gamma 90.00
loop_
_symmetry_equiv_pos_as_xyz
'x,y,z'
'-x,-y,-z'
'-x,y,-z'
'x,-y,z'
loop_
_atom_site_label
_atom_site_type_symbol
_atom_site_fract_x
_atom_site_fract_y
_atom_site_fract_z
Tb1 Tb 0.0000 0.0000 0.0000
Tb2 Tb 0.5000 0.5000 0.0000
Zr1 Zr 0.0000 0.5000 0.5000
Sc1 Sc 0.5000 0.0000 0.5000
N1 N 0.2423 0.0000 0.7309
N2 N 0.2537 0.5000 0.2686

***

[11]
# TbZr2ScN4 | Alexandria via LeMat-Bulk | PBE-GGA | relaxed
# Volume ... 12.7 Å³/atom
# Formation energy without anion corrections ... -1.75 eV per atom
data_TbZr2ScN4
_chemical_formula_sum 'Tb4 Zr8 Sc4 N16'
_symmetry_space_group_name_H-M 'I m m a'
_symmetry_Int_Tables_number 74
_symmetry_space_group_name_Hall '-I 2b 2'
_cell_length_a 6.5970
_cell_length_b 6.6162
_cell_length_c 9.3399
_cell_angle_alpha 90.00
_cell_angle_beta 90.00
_cell_angle_gamma 90.00
loop_
_atom_site_label
_atom_site_type_symbol
_atom_site_fract_x
_atom_site_fract_y
_atom_site_fract_z
Tb1 Tb 0.2500 0.2500 0.2500
Zr1 Zr 0.0000 0.0000 0.0000
Zr2 Zr 0.2500 0.2500 0.7500
Sc1 Sc 0.0000 0.0000 0.5000
N1 N 0.0000 0.0126 0.7502
N2 N 0.2499 0.2500 0.5061

***

[12]
# ScTcN2 | Alexandria via LeMat-Bulk | PBE-GGA | relaxed
# Volume ... 13.2 Å³/atom
# Formation energy without anion corrections ... -0.70 eV per atom
# Energy above the lowest structure with this stoichiometry ... 0.000 eV/atom
data_ScTcN2
_chemical_formula_sum 'Sc4 Tc4 N8'
_symmetry_space_group_name_H-M 'I -4 2 d'
_symmetry_Int_Tables_number 122
_symmetry_space_group_name_Hall 'I -4 2bw'
_cell_length_a 4.6288
_cell_length_b 4.6288
_cell_length_c 9.8807
_cell_angle_alpha 90.00
_cell_angle_beta 90.00
_cell_angle_gamma 90.00
loop_
_atom_site_label
_atom_site_type_symbol
_atom_site_fract_x
_atom_site_fract_y
_atom_site_fract_z
Sc1 Sc 0.0000 0.0000 0.0000
Tc1 Tc 0.0000 0.0000 0.5000
N1 N 0.2165 0.2500 0.6250

***

For reference, raw total energy by record: -7.5105; -6.4821; -6.9082; -8.8106; -8.3665; -6.2679; -6.2100; -6.5832; -8.4170; -8.9290; -9.4162; -9.0324 eV/atom.